No. 1
PBE CsNiH3, relaxed; magnetization = 0.00 μB per atom; uncorrected energy = -3.406 eV per atom
1.0
5.576 0.008 -0.003
2.779 6.710 -1.419
2.788 1.091 4.081
Cs Ni H
2 2 6
Cartesian
5.342 3.958 2.074 Cs
8.127 6.746 2.326 Cs
2.556 1.754 1.959 Ni
5.346 0.990 0.290 Ni
6.703 1.071 1.265 H
7.191 2.358 3.135 H
5.338 7.438 1.765 H
3.497 2.353 3.137 H
2.553 3.070 1.101 H
3.989 1.070 1.266 H

***

No. 2
PBE CuPbCl2, relaxed; magnetization = 0.00 μB per atom; energy relative to the elements, uncorrected = -304 meV/atom
1.0
3.420 0.000 0.000
0.000 3.420 0.000
0.000 0.000 8.209
Pb Cu Cl
1 1 2
Cartesian
1.710 1.710 5.972 Pb
0.000 0.000 3.813 Cu
0.000 0.000 7.826 Cl
1.710 1.710 2.912 Cl

***

No. 3
PBE BaTlCu2Br6, relaxed; magnetization = 0.11 μB per atom; energy relative to the elements, uncorrected = -941 meV/atom
1.0
9.348 -1.201 0.025
-2.337 9.131 0.025
-2.037 -2.303 9.610
Ba Tl Cu Br
2 2 4 12
Cartesian
3.605 2.851 2.427 Ba
1.370 2.775 7.233 Ba
-1.827 7.654 2.427 Tl
6.802 -2.028 7.233 Tl
2.175 -1.207 7.001 Cu
5.421 2.464 7.465 Cu
2.800 6.833 2.659 Cu
-0.446 3.163 2.195 Cu
6.936 3.173 2.131 Br
3.693 -0.494 2.723 Br
-1.961 2.453 7.529 Br
1.282 6.120 6.937 Br
0.753 1.592 0.951 Br
4.505 5.835 3.903 Br
4.221 4.034 8.709 Br
0.470 -0.209 5.756 Br
0.884 3.778 4.090 Br
2.352 5.439 0.765 Br
4.091 1.848 5.570 Br
2.623 0.188 8.895 Br

***

No. 4
PBE CaMgTe, relaxed; magnetization = 0.00 μB per atom; energy relative to the elements, uncorrected = -722 meV/atom
1.0
-2.167 1.707 -3.272
-1.901 -0.488 3.803
1.941 5.732 1.705
Ca Mg Te
1 1 1
Cartesian
1.867 5.513 1.640 Ca
-1.328 3.191 -0.254 Mg
-0.725 3.979 2.556 Te

***

No. 5
PBE CeGeBi2, relaxed; ΔH_f (0 K) = -0.3889 eV per atom; magnetization = 0.04 μB per atom
1.0
-0.573 -4.193 -9.827
1.193 -8.962 -5.723
-3.454 5.841 8.273
Ge Bi Ce
2 4 2
Cartesian
0.236 -5.015 -5.929 Ge
0.383 -8.139 -9.622 Ge
-1.859 -2.464 -4.665 Bi
-0.976 -4.849 -2.613 Bi
-2.014 0.824 -0.777 Bi
-1.131 -1.560 1.275 Bi
0.075 -1.589 -1.878 Ce
0.545 -11.566 -13.672 Ce

***

No. 6
PBE CdSn2Ir, relaxed; ΔH_f (0 K) = -0.0229 eV per atom; magnetization = 0.00 μB per atom
1.0
-2.066 -2.299 0.612
1.629 -1.950 -1.825
5.674 -1.961 7.163
Ir Sn Cd
1 2 1
Cartesian
-0.865 -1.551 0.885 Ir
5.780 -2.892 5.570 Sn
2.242 -4.190 3.798 Sn
2.004 -1.915 1.154 Cd

***

No. 7
PBE PmEu2Ga, relaxed; ΔH_f (0 K) = -0.1540 eV per atom; magnetization = 3.60 μB per atom
1.0
5.143 0.000 0.000
0.000 4.817 0.000
0.000 0.000 4.817
Eu Ga Pm
2 1 1
Cartesian
0.000 0.000 2.408 Eu
0.000 2.408 0.000 Eu
2.572 0.000 0.000 Ga
2.572 2.408 2.408 Pm

***

No. 8
PBE ScMn3P, relaxed; ΔH_f (0 K) = -0.0211 eV per atom; magnetization = 1.01 μB per atom
1.0
-4.120 -0.934 0.309
0.103 -1.732 -3.865
0.978 -3.752 1.707
Sc P Mn
1 1 3
Cartesian
-1.520 -3.209 -0.924 Sc
0.000 0.000 0.000 P
0.051 -0.866 -1.932 Mn
0.489 -1.876 0.854 Mn
-2.060 -0.467 0.155 Mn

***

No. 9
PBE Tm3Ga3Hg, relaxed; ΔH_f (0 K) = -0.4180 eV per atom; magnetization = 0.00 μB per atom
1.0
4.773 0.000 0.000
0.000 8.712 0.000
0.000 -4.356 7.545
Tm Ga Hg
6 6 2
Cartesian
3.580 3.310 4.263 Tm
3.580 3.365 0.735 Tm
3.580 6.393 2.547 Tm
1.193 1.046 3.282 Tm
1.193 0.991 6.810 Tm
1.193 -2.037 4.998 Tm
1.193 3.801 5.980 Ga
1.193 1.632 0.302 Ga
1.193 7.635 1.263 Ga
3.580 0.555 1.565 Ga
3.580 2.724 7.243 Ga
3.580 -3.279 6.282 Ga
1.193 4.356 2.515 Hg
3.580 0.000 5.030 Hg

***

No. 10
PBE RbMgPb, relaxed; ΔH_f (0 K) = -0.0271 eV per atom; magnetization = 0.00 μB per atom
1.0
-5.152 2.926 -0.922
-0.185 -1.872 -4.905
-7.451 -11.871 4.811
Pb Mg Rb
4 4 4
Cartesian
-1.216 -0.961 0.413 Pb
-5.034 -7.833 0.366 Pb
-5.352 -4.669 1.984 Pb
-9.171 -11.541 1.937 Pb
-3.269 1.255 -0.355 Mg
-7.087 -5.617 -0.402 Mg
-8.641 -4.473 2.033 Mg
-5.008 0.527 -2.825 Mg
-6.827 -1.489 0.826 Rb
-10.645 -8.361 0.779 Rb
-7.451 -8.039 3.349 Rb
-3.817 -3.039 -1.509 Rb

***

No. 11
PBE CaAcRh2, relaxed; ΔH_f (0 K) = -0.4642 eV per atom; magnetization = 0.00 μB per atom
1.0
-0.491 4.599 -2.029
-0.310 0.528 -5.014
-4.371 1.367 -2.130
Ac Rh Ca
1 2 1
Cartesian
-2.586 3.247 -4.587 Ac
-3.879 4.871 -6.880 Rh
-1.293 1.624 -2.293 Rh
0.000 0.000 0.000 Ca

***

No. 12
PBE Mn3BMo, relaxed; ΔH_f (0 K) = 0.0803 eV per atom; magnetization = 0.31 μB per atom
1.0
3.830 0.000 0.000
0.000 3.830 0.000
0.000 0.000 3.830
Mo Mn B
1 3 1
Cartesian
1.915 1.915 1.915 Mo
0.000 1.915 0.000 Mn
0.000 0.000 1.915 Mn
1.915 0.000 0.000 Mn
0.000 0.000 0.000 B